No. 1
The following is a PBE-GGA calculation of an optimized crystal structure of Sr3SnPt3, from Alexandria.

Structure (POSCAR):
```
Sr3SnPt3
1.0
4.5145 0.0000 0.0000
-2.2573 5.5892 0.0000
0.0000 0.0000 14.6598
Sr Sn Pt
6 2 6
Direct
0.2150 0.4300 0.8946
0.7850 0.5700 0.1054
0.2150 0.4300 0.6054
0.7850 0.5700 0.3946
0.4992 0.9985 0.7500
0.5008 0.0015 0.2500
0.5000 0.0000 0.0000
0.5000 0.0000 0.5000
0.9217 0.8433 0.9108
0.0783 0.1567 0.0892
0.9217 0.8433 0.5892
0.0783 0.1567 0.4108
0.8038 0.6077 0.7500
0.1962 0.3923 0.2500
```

Values from the calculation:
Space group: Cmcm
Density of states at the Fermi level in states/eV/f.u.: 4.50
DFT total energy in eV/atom: -4.706
E above lowest polymorph in eV/atom: 0.000

***

No. 2
The following is a PBE-GGA calculation of an optimized crystal structure of Cd2TcBr, from Alexandria.

Structure (POSCAR):
```
Cd2TcBr
1.0
3.1932 0.0000 0.0000
0.0000 5.0954 0.0064
0.0000 3.2368 5.0070
Tc Br Cd
1 1 2
Direct
0.5000 0.5000 0.5000
0.0000 0.0000 0.5000
0.0000 0.0000 0.0000
0.5000 0.5000 0.0000
```

Values from the calculation:
Space group: P2/m
Density of states at the Fermi level in states/eV/f.u.: 3.08
DFT total energy in eV/atom: -2.879
E above lowest polymorph in eV/atom: 0.345

***

No. 3
The following is a PBE-GGA calculation of an optimized crystal structure of MgTa2P, from Alexandria.

Structure (POSCAR):
```
MgTa2P
1.0
-3.1048 -3.1306 -1.1571
1.7434 -0.9333 -2.1532
2.7147 -3.6690 2.6424
Mg P Ta
1 1 2
Direct
0.0000 0.4718 0.5033
0.5000 0.0783 0.7576
0.0000 0.8550 0.9858
0.5000 0.0948 0.2533
```

Values from the calculation:
Space group: Pm
Density of states at the Fermi level in states/eV/f.u.: 3.20
DFT total energy in eV/atom: -7.601
E above lowest polymorph in eV/atom: 0.175

***

No. 4
The following is a PBE-GGA calculation of an optimized crystal structure of SrAlH6, from Alexandria.

Structure (POSCAR):
```
SrAlH6
1.0
4.6118 -0.8039 -1.2474
-2.3439 4.2079 -0.5208
-0.7460 -0.0273 4.6060
Sr Al H
1 1 6
Direct
0.0000 0.5000 0.5000
0.0000 0.0000 0.0000
0.8540 0.9027 0.2896
0.3869 0.4355 0.2896
0.6131 0.5645 0.7104
0.1460 0.0973 0.7104
0.2902 0.8760 0.1662
0.7098 0.1240 0.8338
```

Values from the calculation:
Space group: C2/m
Density of states at the Fermi level in states/eV/f.u.: 0.71
DFT total energy in eV/atom: -3.249
E above lowest polymorph in eV/atom: 0.037

***

No. 5
The following is a PBE-GGA calculation of an optimized crystal structure of Sm8ThSc3, from Alexandria.

Structure (POSCAR):
```
Sm8ThSc3
1.0
-4.3352 -7.3732 -0.3159
4.9249 -0.7100 -6.9641
6.0876 3.1929 5.0993
Sm Th Sc
8 1 3
Direct
0.5081 0.2818 0.2260
0.4919 0.7180 0.7737
0.9442 0.7182 0.2263
0.0558 0.2820 0.7740
0.1654 0.4181 0.2532
0.8346 0.0878 0.2527
0.8351 0.5819 0.7473
0.1649 0.9122 0.7468
0.0000 0.0000 0.0000
0.5000 0.7205 0.2205
0.5000 0.2795 0.7795
0.0000 0.5000 0.5000
```

Values from the calculation:
Space group: Immm
Density of states at the Fermi level in states/eV/f.u.: 19.83
DFT total energy in eV/atom: -4.914

***

No. 6
The following is a PBE-GGA calculation of an optimized crystal structure of Dy3Si4Rh, from Alexandria.

Structure (POSCAR):
```
Dy3Si4Rh
1.0
4.2771 0.0000 0.0000
0.0000 5.6145 0.0000
-2.1385 -2.8072 7.2419
Dy Si Rh
3 4 1
Direct
0.1937 0.1937 0.3874
0.8063 0.8063 0.6126
0.0000 0.5000 0.0000
0.3798 0.5881 0.7597
0.6202 0.4119 0.2403
0.6202 0.8285 0.2403
0.3798 0.1715 0.7597
0.5000 0.0000 0.0000
```

Values from the calculation:
Space group: Immm
Density of states at the Fermi level in states/eV/f.u.: 4.02
DFT total energy in eV/atom: -6.018

***

No. 7
The following is a PBE-GGA calculation of an optimized crystal structure of CaSi2Br, from Alexandria.

Structure (POSCAR):
```
CaSi2Br
1.0
-1.5354 -4.5086 -2.8849
1.5226 -0.4362 5.3385
-3.2239 0.4842 0.9591
Br Ca Si
1 1 2
Direct
0.5000 0.0000 0.5000
0.0000 0.5000 0.5000
0.0000 0.0000 0.0000
0.5000 0.5000 0.0000
```

Values from the calculation:
Space group: Cmmm
Density of states at the Fermi level in states/eV/f.u.: 2.11
DFT total energy in eV/atom: -3.454
E above lowest polymorph in eV/atom: 0.852

***

No. 8
The following is a PBE-GGA calculation of an optimized crystal structure of MgTiBeI2, from Alexandria.

Structure (POSCAR):
```
MgTiBeI2
1.0
-2.7298 -1.3673 4.2856
3.0043 -3.6896 0.7365
3.0750 3.0917 2.9451
I Be Mg Ti
2 1 1 1
Direct
0.0000 0.0000 0.5000
0.5000 0.0000 0.0000
0.0000 0.0000 0.0000
0.0000 0.5000 0.0000
0.5000 0.5000 0.5000
```

Values from the calculation:
Space group: P4/mmm
Density of states at the Fermi level in states/eV/f.u.: 6.65
DFT total energy in eV/atom: -2.422

***

No. 9
The following is a PBE-GGA calculation of an optimized crystal structure of SiPHS, from Alexandria.

Structure (POSCAR):
```
SiPHS
1.0
4.6578 0.0000 0.0000
0.0000 2.5354 0.0000
0.0000 0.0000 12.5219
Si P H S
2 2 2 2
Direct
0.0000 0.0000 0.1575
0.0000 0.5000 0.6575
0.5000 0.0000 0.1074
0.5000 0.5000 0.6074
0.0000 0.0000 0.2779
0.0000 0.5000 0.7779
0.5000 0.0000 0.9428
0.5000 0.5000 0.4428
```

Values from the calculation:
Space group: Amm2
Density of states at the Fermi level in states/eV/f.u.: 1.64
DFT total energy in eV/atom: -4.409
E above lowest polymorph in eV/atom: 0.384

***

No. 10
The following is a PBE-GGA calculation of an optimized crystal structure of AcNdSmAl, from Alexandria.

Structure (POSCAR):
```
AcNdSmAl
1.0
-0.3901 3.3129 -4.5109
-2.8980 -1.7057 -4.4910
-4.8893 2.4382 -1.2754
Ac Nd Al Sm
1 1 1 1
Direct
0.7500 0.7500 0.7500
0.5000 0.5000 0.5000
0.2500 0.2500 0.2500
0.0000 0.0000 0.0000
```

Values from the calculation:
Space group: F-43m
Density of states at the Fermi level in states/eV/f.u.: 7.32
DFT total energy in eV/atom: -4.286

***

No. 11
The following is a PBE-GGA calculation of an optimized crystal structure of LaDy4Al5, from Alexandria.

Structure (POSCAR):
```
LaDy4Al5
1.0
3.6368 0.0000 0.0000
0.0000 3.6368 0.0000
0.0000 0.0000 18.2248
La Dy Al
1 4 5
Direct
0.0000 0.0000 0.0000
0.0000 0.0000 0.2078
0.0000 0.0000 0.4026
0.0000 0.0000 0.5974
0.0000 0.0000 0.7922
0.5000 0.5000 0.1126
0.5000 0.5000 0.3050
0.5000 0.5000 0.5000
0.5000 0.5000 0.6950
0.5000 0.5000 0.8874
```

Values from the calculation:
Space group: P4/mmm
Density of states at the Fermi level in states/eV/f.u.: 4.13
DFT total energy in eV/atom: -4.595